4
Lattice="-1.577 2.040 -0.351 0.166 -0.315 -2.578 -5.768 -4.431 0.170" Properties=species:S:1:pos:R:3 comment="MnZn2Fe (PBEsol, optimized geometry)" final_energy_ev_per_cell=-21.6 e_form_ev_per_fu=0.284 space_group="P4/mmm, No. 123" pbc="T T T"
Mn -3.590 -1.353 -1.379
Zn -4.341 -3.334 0.128
Zn -1.427 -1.096 0.042
Fe -0.706 0.862 -1.464

=====

4
Lattice="3.727 0.000 0.000 0.000 4.831 0.000 0.000 0.000 7.646" Properties=species:S:1:pos:R:3 comment="BaSrPb2 (PBEsol, optimized geometry)" final_energy_ev_per_cell=-14.2 e_form_ev_per_fu=-2.247 space_group="Pmmm, No. 47" pbc="T T T"
Pb 0.000 0.000 1.709
Pb 0.000 0.000 5.937
Ba 1.863 2.415 3.823
Sr 1.863 2.415 0.000

=====

4
Lattice="-1.400 -1.667 1.811 3.966 -2.833 0.459 0.257 3.496 3.418" Properties=species:S:1:pos:R:3 comment="HgIr2Cl (PBEsol, optimized geometry)" final_energy_ev_per_cell=-18.0 formation_energy_uncorrected_kj_per_mol_atoms=103.0 space_group="Cmmm, No. 65" pbc="T T T"
Ir 1.983 -1.417 0.229
Ir 0.129 1.748 1.709
Cl -0.700 -0.833 0.905
Hg 1.412 -0.502 2.843

=====

5
Lattice="-2.004 -3.665 2.368 4.221 -2.290 0.029 0.373 5.778 4.388" Properties=species:S:1:pos:R:3 comment="SrHg2Pb2 (PBEsol, optimized geometry)" final_energy_ev_per_cell=-12.5 e_form_ev_per_fu=-1.551 space_group="I4/mmm, No. 139" pbc="T T T"
Hg 1.421 -2.384 2.381
Hg 1.167 2.208 4.405
Pb -0.262 -0.432 3.978
Pb 2.851 0.256 2.808
Sr 0.000 0.000 0.000

=====

12
Lattice="-1.973 4.320 0.620 -5.854 -3.286 4.271 4.504 1.054 6.985" Properties=species:S:1:pos:R:3 comment="SrLiSb (PBEsol, optimized geometry)" final_energy_ev_per_cell=-45.2 formation_energy_uncorrected_kj_per_mol_atoms=-94.6 space_group="Pnma, No. 62" pbc="T T T"
Sb -0.964 -0.521 9.808
Sb -2.358 2.608 2.068
Sb 0.554 0.792 5.488
Sb -3.876 1.295 6.388
Li -1.758 -0.480 6.995
Li -6.058 0.557 4.586
Li 2.735 1.530 7.290
Li -1.564 2.567 4.881
Sr -0.820 2.441 8.125
Sr -2.503 -0.354 3.751
Sr 0.808 1.379 2.211
Sr -4.131 0.708 9.665

=====

4
Lattice="3.283 0.000 0.000 0.000 4.776 0.000 -1.641 -2.388 4.956" Properties=species:S:1:pos:R:3 comment="Zr2ScOs (PBEsol, optimized geometry)" final_energy_ev_per_cell=-38.2 e_form_ev_per_fu=-1.151 space_group="Imm2, No. 44" pbc="T T T"
Sc 0.000 2.388 2.159
Zr 0.000 0.000 0.018
Zr 1.641 0.000 2.798
Os 0.000 0.000 4.936

=====

3
Lattice="0.424 -1.151 -2.674 2.904 0.006 0.473 -2.013 -4.696 3.314" Properties=species:S:1:pos:R:3 comment="PIrCl (PBEsol, optimized geometry)" final_energy_ev_per_cell=-17.3 formation_energy_uncorrected_kj_per_mol_atoms=12.0 space_group="Fmm2, No. 42" pbc="T T T"
P -0.206 -3.102 1.303
Ir 1.534 -2.534 -0.277
Cl -0.014 -0.205 0.086

=====

44
Lattice="-1.752 2.107 5.001 7.698 -4.135 4.439 7.414 11.423 -2.216" Properties=species:S:1:pos:R:3 comment="K2S3O6 (PBEsol, optimized geometry)" final_energy_ev_per_cell=-254.3 formation_energy_uncorrected_kj_per_mol_atoms=-146.2 space_group="Pnma, No. 62" pbc="T T T"
O 5.540 -0.940 7.214
O 4.302 9.988 3.567
O 12.470 8.155 4.420
O 6.048 6.257 2.969
O 10.398 5.550 6.181
O 7.820 10.336 0.010
O 5.052 9.086 1.426
O 8.061 2.237 2.118
O 4.844 0.912 1.546
O 5.567 -0.140 3.635
O 9.266 7.581 3.536
O 8.308 0.309 5.798
O 9.080 4.278 3.004
O 7.312 3.138 4.255
O 4.281 5.117 4.220
O 1.639 0.340 0.667
O 9.058 -0.593 3.657
O 0.890 1.240 2.804
O 11.722 9.055 6.557
O 5.299 7.158 5.106
O 7.794 9.536 3.589
O 8.516 8.483 5.678
O 2.962 3.845 1.043
O 4.094 1.814 3.688
S 8.833 8.766 4.277
S 10.383 10.199 4.216
S 2.978 -0.804 3.008
S 10.049 2.093 4.264
S 4.932 6.398 3.908
S 12.036 9.345 5.155
S 9.418 0.166 4.855
S 1.325 0.050 2.068
S 3.312 7.302 2.960
S 8.428 2.997 3.315
S 3.942 9.229 2.369
S 4.528 0.629 2.947
K 5.886 1.762 6.196
K 7.918 5.722 5.239
K 6.930 -2.033 4.910
K 7.475 7.633 1.028
K 1.847 3.536 4.033
K 5.442 3.673 1.984
K 6.431 11.428 2.314
K 11.514 5.859 3.191